No. 1
ZrBe3 after structural relaxation, computed with GGA-PBE.

Its energy above the most stable polymorph in this dataset is 611 meV per atom. Its density of states at the Fermi level is 2.3 states/eV per cell. Its space group is Cmmm, No. 65. For the magnetic moment, the calculation gives 0.09 μB per cell. For the formation energy, the calculation gives 431 meV/atom.

Unit cell a=4.7293 b=4.7293 c=2.5251 alpha=90.00 beta=90.00 gamma=110.36
Closest atoms and distances in Å follow each position.
Fractional coordinates of all 4 atoms:
Be  0.5000  0.5000  0.0000  10 Be 2.53-2.68, 2 Zr 2.70
Be  0.0000  0.5000  0.5000  8 Be 2.53-2.70, 4 Zr 2.68
Be  0.5000  0.0000  0.5000  8 Be 2.53-2.70, 4 Zr 2.68
Zr  0.0000  0.0000  0.0000  2 Zr 2.53, 10 Be 2.68-2.70

No. 2
CePrAl2 after structural relaxation, computed with GGA-PBE.

Its energy above the most stable polymorph in this dataset is 313 meV per atom. Its density of states at the Fermi level is 5.6 states/eV per cell. Its space group is R-3m, No. 166. For the magnetic moment, the calculation gives 0.34 μB per cell. For the formation energy, the calculation gives -36 meV/atom.

Unit cell a=3.6286 b=3.6286 c=9.7554 alpha=79.28 beta=79.28 gamma=60.00
Closest atoms and distances in Å follow each position.
Fractional coordinates of all 4 atoms:
Al  0.7484  0.7484  0.7548  3 Ce 3.14, 3 Pr 3.21
Pr  0.5000  0.5000  0.5000  6 Al 3.21
Ce  0.0000  0.0000  0.0000  6 Al 3.14
Al  0.2516  0.2516  0.2452  3 Ce 3.14, 3 Pr 3.21

No. 3
TePdNF2 after structural relaxation, computed with GGA-PBE.

Its energy above the most stable polymorph in this dataset is 79 meV per atom. Its density of states at the Fermi level is 3.0 states/eV per cell. Its space group is P4/mmm, No. 123. For the magnetic moment, the calculation gives 0.00 μB per cell. The formation energy without anion corrections comes out at 11.0 kJ/mol of atoms.

Unit cell a=4.3202 b=4.3202 c=3.9461 alpha=90.00 beta=90.00 gamma=90.00
Closest atoms and distances in Å follow each position.
Fractional coordinates of all 5 atoms:
N  0.0000  0.0000  0.5000  2 Pd 1.97
F  0.0000  0.5000  0.0000  2 Pd 2.16
F  0.5000  0.0000  0.0000  2 Pd 2.16
Te  0.5000  0.5000  0.5000  8 F 2.93, 4 N 3.05
Pd  0.0000  0.0000  0.0000  2 N 1.97, 4 F 2.16

No. 4
NaZn3I after structural relaxation, computed with GGA-PBE.

Its energy above the most stable polymorph in this dataset is 0 meV per atom. Its density of states at the Fermi level is 0.8 states/eV per cell. Its space group is Pm-3m, No. 221. For the magnetic moment, the calculation gives 0.00 μB per cell. The formation energy without anion corrections comes out at 34.1 kJ/mol of atoms.

Unit cell a=5.6263 b=5.6263 c=5.6263 alpha=90.00 beta=90.00 gamma=90.00
Closest atoms and distances in Å follow each position.
Fractional coordinates of all 5 atoms:
Zn  0.0000  0.5000  0.0000  2 Na 2.81
Na  0.0000  0.0000  0.0000  6 Zn 2.81
Zn  0.0000  0.0000  0.5000  2 Na 2.81
Zn  0.5000  0.0000  0.0000  2 Na 2.81
I  0.5000  0.5000  0.5000  12 Zn 3.98

No. 5
EuDyAu after structural relaxation, computed with GGA-PBE.

Its energy above the most stable polymorph in this dataset is 124 meV per atom. Its density of states at the Fermi level is 3.6 states/eV per cell. Its space group is F-43m, No. 216. For the magnetic moment, the calculation gives 7.27 μB per cell. For the formation energy, the calculation gives -411 meV/atom.

Unit cell a=5.0809 b=5.0809 c=5.0809 alpha=60.00 beta=60.00 gamma=60.00
Closest atoms and distances in Å follow each position.
Fractional coordinates of all 3 atoms:
Dy  0.5000  0.5000  0.5000  4 Au 3.11
Eu  0.0000  0.0000  0.0000  4 Au 3.11
Au  0.2500  0.2500  0.2500  4 Dy 3.11, 4 Eu 3.11

No. 6
Al2CuAs after structural relaxation, computed with GGA-PBE.

Its density of states at the Fermi level is 0.9 states/eV per cell. Its space group is R-3m, No. 166. For the magnetic moment, the calculation gives 0.00 μB per cell. For the formation energy, the calculation gives 42 meV/atom.

Unit cell a=8.6481 b=8.6481 c=8.6481 alpha=19.67 beta=19.67 gamma=19.67
Closest atoms and distances in Å follow each position.
Fractional coordinates of all 4 atoms:
As  0.2500  0.2500  0.2500  6 Al 2.91, 6 As 2.95
Cu  0.7500  0.7500  0.7500  6 Al 2.54
Al  0.0094  0.0094  0.0094  3 Cu 2.54
Al  0.4906  0.4906  0.4906  3 Cu 2.54